VASP calculation (PBE) on a geometry-optimized Li8TlAg5 structure.

The structure in POSCAR format:
```
Li8TlAg5
1.0
-4.796 4.649 -1.574
-2.827 -5.548 2.884
4.361 3.052 4.331
Li Tl Ag
8 1 5
Direct
0.138 0.735 0.070 Li
0.930 0.068 0.665 Li
0.744 0.266 0.348 Li
0.652 0.395 0.917 Li
0.522 0.605 0.256 Li
0.597 0.932 0.862 Li
0.335 0.265 0.403 Li
0.083 0.734 0.478 Li
0.250 0.500 0.750 Tl
0.040 0.333 0.122 Ag
0.878 0.918 0.211 Ag
0.789 0.667 0.707 Ag
0.500 0.000 0.500 Ag
0.293 0.082 0.960 Ag
```

Computed properties:
DFT formation energy: -0.11 eV per atom
Density of states at the Fermi level: 5.46 states/eV per cell
M_tot: 0.00 μB/atom
Uncorrected energy: -2.393 eV per atom